# 1
A geometry-optimized Pm12Ga6Os structure, computed with PBE.

abc: 8.5854 8.5854 8.5854
angles: 99.20 99.20 99.20
Element x y z (fractional)
Pm (0.0324, 0.6817, 0.9342)
Pm (0.0658, 0.9676, 0.3183)
Pm (0.1819, 0.4306, 0.5668)
Pm (0.3183, 0.0658, 0.9676)
Pm (0.4306, 0.5668, 0.1819)
Pm (0.4332, 0.8181, 0.5694)
Pm (0.5668, 0.1819, 0.4306)
Pm (0.5694, 0.4332, 0.8181)
Pm (0.6817, 0.9342, 0.0324)
Pm (0.8181, 0.5694, 0.4332)
Pm (0.9342, 0.0324, 0.6817)
Pm (0.9676, 0.3183, 0.0658)
Ga (0.1363, 0.6298, 0.3020)
Ga (0.3020, 0.1363, 0.6298)
Ga (0.3702, 0.6980, 0.8637)
Ga (0.6298, 0.3020, 0.1363)
Ga (0.6980, 0.8637, 0.3702)
Ga (0.8637, 0.3702, 0.6980)
Os (0.0000, 0.0000, 0.0000)

- Mass density: 6.44 g/cm³
- VASP energy: -4.7312 eV per atom
- Magnetization: 0.0 Bohr magnetons per cell
- Calculated formation energy: -0.184 eV per atom

# 2
A geometry-optimized ZrAgMo2Se structure, computed with PBE.

abc: 4.9566 4.9566 5.0721
angles: 90.00 90.00 90.00
Element x y z (fractional)
Zr (0.0000, 0.0000, 0.0000)
Ag (0.5000, 0.5000, 0.5000)
Mo (0.0000, 0.5000, 0.0000)
Mo (0.5000, 0.0000, 0.0000)
Se (0.0000, 0.0000, 0.5000)

- Mass density: 6.26 g/cm³
- VASP energy: -5.7174 eV per atom
- Magnetization: 3.7 Bohr magnetons per cell
- Formation energy without anion corrections: 1592 meV per atom

# 3
A geometry-optimized SrPuCd4 structure, computed with PBE.

abc: 6.0997 6.0997 6.0997
angles: 60.00 60.00 60.00
Element x y z (fractional)
Sr (0.0000, 0.0000, 0.0000)
Pu (0.7500, 0.7500, 0.7500)
Cd (0.3753, 0.3753, 0.3753)
Cd (0.3753, 0.3753, 0.8741)
Cd (0.3753, 0.8741, 0.3753)
Cd (0.8741, 0.3753, 0.3753)

- Mass density: 8.08 g/cm³
- VASP energy: -3.3973 eV per atom
- Magnetization: 6.0 Bohr magnetons per cell
- Calculated formation energy: -0.118 eV per atom

# 4
A geometry-optimized Dy3YPd structure, computed with PBE.

abc: 7.1797 7.1797 7.9087
angles: 120.44 120.44 72.24
Element x y z (fractional)
Dy (0.0087, 0.4063, 0.7412)
Dy (0.0734, 0.0734, 0.2733)
Dy (0.4063, 0.0087, 0.7412)
Dy (0.5937, 0.9913, 0.2588)
Dy (0.9266, 0.9266, 0.7267)
Dy (0.9913, 0.5937, 0.2588)
Y (0.4597, 0.4597, 0.6895)
Y (0.5403, 0.5403, 0.3105)
Pd (0.2304, 0.2304, 0.0835)
Pd (0.7696, 0.7696, 0.9165)

- Mass density: 7.50 g/cm³
- VASP energy: -5.3584 eV per atom
- ΔE to the lowest computed polymorph: 0 meV per atom
- Magnetization: 0.0 Bohr magnetons per cell
- Calculated formation energy: -0.266 eV per atom

# 5
A geometry-optimized TaMo structure, computed with PBE.

abc: 9.7812 9.7812 9.7812
angles: 161.03 153.56 32.75
Element x y z (fractional)
Ta (0.3095, 0.0595, 0.2500)
Ta (0.4370, 0.6870, 0.7500)
Ta (0.5630, 0.3130, 0.2500)
Ta (0.6905, 0.9405, 0.7500)
Mo (0.0626, 0.8126, 0.2500)
Mo (0.1850, 0.4350, 0.7500)
Mo (0.8150, 0.5650, 0.2500)
Mo (0.9374, 0.1874, 0.7500)

- Mass density: 13.59 g/cm³
- VASP energy: -11.4792 eV per atom
- Magnetization: 0.0 Bohr magnetons per cell
- Calculated formation energy: -0.137 eV per atom

# 6
A geometry-optimized ZrCuW2 structure, computed with PBE.

abc: 3.3390 3.3390 5.9977
angles: 90.00 90.00 90.00
Element x y z (fractional)
Zr (0.0000, 0.0000, 0.0000)
Cu (0.0000, 0.0000, 0.5000)
W (0.5000, 0.5000, 0.2892)
W (0.5000, 0.5000, 0.7108)

- Mass density: 12.97 g/cm³
- VASP energy: -9.2546 eV per atom
- ΔE to the lowest computed polymorph: 260 meV per atom
- Magnetization: 0.0 Bohr magnetons per cell
- Calculated formation energy: 0.383 eV per atom

Sequential N(E_F) output: 27.118; 7.407; 14.788; 8.036; 2.339; 3.201 states/eV/f.u.